(1)
DFT (PBE-GGA) results for crystalline LaCu2 at its relaxed geometry.

abc: 6.441 6.441 6.441
angles: 144.05 126.36 66.27
Fractional positions:
La1 0.171 0.171 0.000
La2 0.829 0.829 0.000
Cu1 0.287 0.500 0.787
Cu2 0.389 0.889 0.500
Cu3 0.611 0.111 0.500
Cu4 0.713 0.500 0.213

## Properties
Its space group is Immm (71). The total DFT energy (no corrections) is -4.48 eV/atom. The calculation puts the total moment at 0.0 μB/f.u.

=====

(2)
DFT (PBE-GGA) results for crystalline CsBaTe2I at its relaxed geometry.

abc: 6.708 6.708 6.809
angles: 90.00 90.00 90.00
Fractional positions:
Cs1 0.000 0.000 0.000
Ba1 0.500 0.500 0.500
Te1 0.000 0.500 0.500
Te2 0.500 0.000 0.500
I1 0.500 0.500 0.000

## Properties
Its space group is P4/mmm (123). The total DFT energy (no corrections) is -2.95 eV/atom. The calculation puts the total moment at 1.9 μB/f.u. The formation energy from raw total energies is -0.827 eV per atom.

=====

Copy entry 2 word for word.
DFT (PBE-GGA) results for crystalline CsBaTe2I at its relaxed geometry.

abc: 6.708 6.708 6.809
angles: 90.00 90.00 90.00
Fractional positions:
Cs1 0.000 0.000 0.000
Ba1 0.500 0.500 0.500
Te1 0.000 0.500 0.500
Te2 0.500 0.000 0.500
I1 0.500 0.500 0.000

## Properties
Its space group is P4/mmm (123). The total DFT energy (no corrections) is -2.95 eV/atom. The calculation puts the total moment at 1.9 μB/f.u. The formation energy from raw total energies is -0.827 eV per atom.